The following is a PBE with a Hubbard U calculation of crystalline NdAl2WO8 at its relaxed geometry, from the Alexandria database.

a = 4.600 Å, b = 4.602 Å, c = 6.557 Å
α = 90.00°, β = 90.00°, γ = 88.72°
Sites, in units of the cell vectors:
O (0.301, 0.302, 0.000)
O (0.210, 0.790, 0.211)
O (0.210, 0.790, 0.789)
O (0.699, 0.698, 0.000)
O (0.790, 0.210, 0.211)
O (0.790, 0.210, 0.789)
O (0.655, 0.654, 0.500)
O (0.345, 0.346, 0.500)
Al (0.500, 0.500, 0.226)
Al (0.500, 0.500, 0.774)
W (0.000, 0.000, 0.000)
Nd (0.000, 0.000, 0.500)

As for the total DFT energy (no corrections): -88.68 eV per cell. Its space group is Cmmm. The calculation puts the calculated volume at 138.77 Å³ per cell. For the calculated density, the calculation gives 6.10 g/cm³.